1.
Compound: AlNi2HRu
Source: Alexandria via LeMat-Bulk
Functional: PBE-GGA
Structure: optimized geometry

Cell lengths 3.6438, 3.6438, 3.8789 Å; angles 90.00, 90.00, 90.00 degrees
Last column: nearest neighbours and their distance in Å.
Atoms (fractional coordinates):
1 Ni 0.5000 0.0000 0.0000  2 H 1.82
2 Ni 0.0000 0.5000 0.0000  2 H 1.82
3 Al 0.5000 0.5000 0.5000  4 Ru 2.58, 8 Ni 2.66
4 H 0.0000 0.0000 0.0000  4 Ni 1.82, 2 Ru 1.94
5 Ru 0.0000 0.0000 0.5000  2 H 1.94

Calculated values
Spin magnetization ... 0.0001 μB/atom
Calculated total energy ... -29.353 eV/cell

=====

2.
Compound: Sc2AlNi6H
Source: Alexandria via LeMat-Bulk
Functional: PBE-GGA
Structure: optimized geometry

Cell lengths 5.0910, 6.3633, 6.3633 Å; angles 47.16, 66.42, 90.03 degrees
Last column: nearest neighbours and their distance in Å.
Atoms (fractional coordinates):
1 Ni 0.7726 0.7218 0.4532  1 H 1.78
2 Ni 0.2777 0.2271 0.9482  1 H 1.78
3 Ni 0.7223 0.7729 0.0518  1 H 1.78
4 Ni 0.2272 0.7731 0.0530  1 H 1.79
5 Ni 0.7728 0.2269 0.9470  1 H 1.79
6 Ni 0.2274 0.2782 0.5468  1 H 1.78
7 Sc 0.7800 0.2202 0.4409  6 Ni 2.71
8 Sc 0.2200 0.7798 0.5591  6 Ni 2.71
9 Al 0.5000 0.5000 0.0000  6 Ni 2.34
10 H 0.0000 0.0000 0.0000  6 Ni 1.78-1.79

Calculated values
Spin magnetization ... 0.0000 μB/atom
Calculated total energy ... -58.446 eV/cell

=====

3.
Compound: AlTcNi2H
Source: Alexandria via LeMat-Bulk
Functional: PBE-GGA
Structure: optimized geometry

Cell lengths 3.6354, 3.6354, 3.9603 Å; angles 90.00, 90.00, 90.00 degrees
Last column: nearest neighbours and their distance in Å.
Atoms (fractional coordinates):
1 Al 0.5000 0.5000 0.5000  4 Tc 2.57, 8 Ni 2.69
2 Tc 0.0000 0.0000 0.5000  2 H 1.98
3 H 0.0000 0.0000 0.0000  4 Ni 1.82, 2 Tc 1.98
4 Ni 0.5000 0.0000 0.0000  2 H 1.82
5 Ni 0.0000 0.5000 0.0000  2 H 1.82

Calculated values
Spin magnetization ... 0.0027 μB/atom
Calculated total energy ... -30.033 eV/cell

=====

4.
Compound: AlTc2NiH
Source: Alexandria via LeMat-Bulk
Functional: PBE-GGA
Structure: optimized geometry

Cell lengths 3.8218, 3.8218, 3.9058 Å; angles 90.00, 90.00, 90.00 degrees
Last column: nearest neighbours and their distance in Å.
Atoms (fractional coordinates):
1 Tc 0.0000 0.5000 0.0000  2 H 1.91
2 Tc 0.5000 0.0000 0.0000  2 H 1.91
3 H 0.0000 0.0000 0.0000  4 Tc 1.91, 2 Ni 1.95
4 Ni 0.0000 0.0000 0.5000  2 H 1.95
5 Al 0.5000 0.5000 0.5000  4 Ni 2.70, 8 Tc 2.73

Calculated values
Spin magnetization ... 0.0000 μB/atom
Calculated total energy ... -33.894 eV/cell

=====

5.
Compound: ThAlNi2H
Source: Alexandria via LeMat-Bulk
Functional: PBE-GGA
Structure: optimized geometry

Cell lengths 4.0374, 5.7352, 6.6056 Å; angles 90.00, 90.00, 110.61 degrees
Last column: nearest neighbours and their distance in Å.
Atoms (fractional coordinates):
1 Th 0.5820 0.1640 0.2500  4 H 2.75, 6 Ni 2.96-3.06, 3 Al 3.06-3.07
2 Th 0.4180 0.8360 0.7500  4 H 2.75, 6 Ni 2.96-3.06, 3 Al 3.06-3.07
3 H 0.0000 0.0000 0.0000  2 Ni 1.76
4 H 0.0000 0.0000 0.5000  2 Ni 1.76
5 Ni 0.1606 0.3212 0.5529  1 H 1.76
6 Ni 0.1606 0.3212 0.9471  1 H 1.76
7 Ni 0.8394 0.6788 0.0529  1 H 1.76
8 Ni 0.8394 0.6788 0.4471  1 H 1.76
9 Al 0.2962 0.5925 0.2500  6 Ni 2.45-2.47
10 Al 0.7038 0.4075 0.7500  6 Ni 2.45-2.47

Calculated values
Spin magnetization ... 0.0000 μB/atom
Calculated total energy ... -57.329 eV/cell

=====

6.
Compound: Ti2AlNiH
Source: Alexandria via LeMat-Bulk
Functional: PBE-GGA
Structure: optimized geometry

Cell lengths 3.9992, 3.9992, 3.7906 Å; angles 90.00, 90.00, 90.00 degrees
Last column: nearest neighbours and their distance in Å.
Atoms (fractional coordinates):
1 Al 0.5000 0.5000 0.5000  8 Ti 2.76, 4 Ni 2.83
2 Ni 0.0000 0.0000 0.5000  2 H 1.90
3 H 0.0000 0.0000 0.0000  2 Ni 1.90, 4 Ti 2.00
4 Ti 0.0000 0.5000 0.0000  2 H 2.00
5 Ti 0.5000 0.0000 0.0000  2 H 2.00

Calculated values
Spin magnetization ... 0.0128 μB/atom
Calculated total energy ... -30.666 eV/cell